A plane-wave DFT calculation with SCAN was carried out for a crystal of KYRe relaxed with PBEsol.

Structure (CIF):
```
data_KYRe
_cell_length_a 3.2826
_cell_length_b 3.2826
_cell_length_c 8.4987
_cell_angle_alpha 90.00
_cell_angle_beta 90.00
_cell_angle_gamma 120.00
_symmetry_space_group_name_H-M 'P 1'
_symmetry_Int_Tables_number 1
loop_
_symmetry_equiv_pos_as_xyz
'x,y,z'
loop_
_atom_site_label
_atom_site_type_symbol
_atom_site_fract_x
_atom_site_fract_y
_atom_site_fract_z
Y1 Y 0.6667 0.3333 0.4062
K1 K 0.0000 0.0000 0.9558
Re1 Re 0.3333 0.6667 0.6380
```

SG = P3m1 (156)
DOS at the Fermi energy = 2.32 states/eV/cell
distance to the lowest polymorph of the same formula = 0.00 eV per formula unit
E_form = 1.067 eV/atom

A plane-wave DFT calculation with SCAN was carried out for a crystal of RbBa2Cl2 relaxed with PBEsol.

Structure (CIF):
```
data_RbBa2Cl2
_cell_length_a 5.5771
_cell_length_b 5.5771
_cell_length_c 8.4943
_cell_angle_alpha 109.16
_cell_angle_beta 109.16
_cell_angle_gamma 90.00
_symmetry_space_group_name_H-M 'P 1'
_symmetry_Int_Tables_number 1
loop_
_symmetry_equiv_pos_as_xyz
'x,y,z'
loop_
_atom_site_label
_atom_site_type_symbol
_atom_site_fract_x
_atom_site_fract_y
_atom_site_fract_z
Cl1 Cl 0.2500 0.7500 0.5000
Cl2 Cl 0.7500 0.2500 0.5000
Ba1 Ba 0.6553 0.6553 0.3107
Ba2 Ba 0.3447 0.3447 0.6893
Rb1 Rb 0.0000 0.0000 0.0000
```

ΔE_f (raw) = -1551 meV/atom
SG = I4/mmm (139)
DOS at the Fermi energy = 2.47 states/eV/cell

A plane-wave DFT calculation with SCAN was carried out for a crystal of ZnReRu relaxed with PBEsol.

Structure (CIF):
```
data_ZnReRu
_cell_length_a 4.0227
_cell_length_b 4.0227
_cell_length_c 4.0227
_cell_angle_alpha 60.00
_cell_angle_beta 60.00
_cell_angle_gamma 60.00
_symmetry_space_group_name_H-M 'P 1'
_symmetry_Int_Tables_number 1
loop_
_symmetry_equiv_pos_as_xyz
'x,y,z'
loop_
_atom_site_label
_atom_site_type_symbol
_atom_site_fract_x
_atom_site_fract_y
_atom_site_fract_z
Ru1 Ru 0.5000 0.5000 0.5000
Re1 Re 0.0000 0.0000 0.0000
Zn1 Zn 0.2500 0.2500 0.2500
```

SG = F-43m (216)
DOS at the Fermi energy = 4.42 states/eV/cell
E_form = 1.176 eV/atom

A plane-wave DFT calculation with SCAN was carried out for a crystal of Cr2CdNi relaxed with PBEsol.

Structure (CIF):
```
data_Cr2CdNi
_cell_length_a 3.1801
_cell_length_b 3.1801
_cell_length_c 5.3758
_cell_angle_alpha 90.00
_cell_angle_beta 90.00
_cell_angle_gamma 90.00
_symmetry_space_group_name_H-M 'P 1'
_symmetry_Int_Tables_number 1
loop_
_symmetry_equiv_pos_as_xyz
'x,y,z'
loop_
_atom_site_label
_atom_site_type_symbol
_atom_site_fract_x
_atom_site_fract_y
_atom_site_fract_z
Ni1 Ni 0.5000 0.5000 0.0000
Cr1 Cr 0.0000 0.0000 0.1796
Cr2 Cr 0.0000 0.0000 0.8204
Cd1 Cd 0.5000 0.5000 0.5000
```

SG = P4/mmm (123)
DOS at the Fermi energy = 3.29 states/eV/cell
E_form = 0.443 eV/atom

A plane-wave DFT calculation with SCAN was carried out for a crystal of Ca2ZrBr relaxed with PBEsol.

Structure (CIF):
```
data_Ca2ZrBr
_cell_length_a 3.4035
_cell_length_b 5.8217
_cell_length_c 5.8217
_cell_angle_alpha 104.14
_cell_angle_beta 90.00
_cell_angle_gamma 90.00
_symmetry_space_group_name_H-M 'P 1'
_symmetry_Int_Tables_number 1
loop_
_symmetry_equiv_pos_as_xyz
'x,y,z'
loop_
_atom_site_label
_atom_site_type_symbol
_atom_site_fract_x
_atom_site_fract_y
_atom_site_fract_z
Ca1 Ca 0.0000 0.5000 0.0000
Ca2 Ca 0.0000 0.0000 0.5000
Zr1 Zr 0.5000 0.0000 0.0000
Br1 Br 0.5000 0.5000 0.5000
```

ΔE_f (raw) = -128 meV/atom
SG = Cmmm (65)
DOS at the Fermi energy = 2.69 states/eV/cell
distance to the lowest polymorph of the same formula = 0.36 eV per formula unit

A plane-wave DFT calculation with SCAN was carried out for a crystal of Cs2RbNdCl6 relaxed with PBEsol.

Structure (CIF):
```
data_Cs2RbNdCl6
_cell_length_a 8.1419
_cell_length_b 8.1419
_cell_length_c 8.1419
_cell_angle_alpha 60.00
_cell_angle_beta 60.00
_cell_angle_gamma 60.00
_symmetry_space_group_name_H-M 'P 1'
_symmetry_Int_Tables_number 1
loop_
_symmetry_equiv_pos_as_xyz
'x,y,z'
loop_
_atom_site_label
_atom_site_type_symbol
_atom_site_fract_x
_atom_site_fract_y
_atom_site_fract_z
Nd1 Nd 0.0000 0.0000 0.0000
Cl1 Cl 0.2343 0.7657 0.7657
Cl2 Cl 0.7657 0.7657 0.2343
Cl3 Cl 0.7657 0.2343 0.7657
Cl4 Cl 0.7657 0.2343 0.2343
Cl5 Cl 0.2343 0.2343 0.7657
Cl6 Cl 0.2343 0.7657 0.2343
Cs1 Cs 0.7500 0.7500 0.7500
Cs2 Cs 0.2500 0.2500 0.2500
Rb1 Rb 0.5000 0.5000 0.5000
```

ΔE_f (raw) = -2359 meV/atom
SG = Fm-3m (225)
DOS at the Fermi energy = 0.00 states/eV/cell

A plane-wave DFT calculation with SCAN was carried out for a crystal of NaTc3Sn relaxed with PBEsol.

Structure (CIF):
```
data_NaTc3Sn
_cell_length_a 4.4886
_cell_length_b 4.4886
_cell_length_c 4.4886
_cell_angle_alpha 90.00
_cell_angle_beta 90.00
_cell_angle_gamma 90.00
_symmetry_space_group_name_H-M 'P 1'
_symmetry_Int_Tables_number 1
loop_
_symmetry_equiv_pos_as_xyz
'x,y,z'
loop_
_atom_site_label
_atom_site_type_symbol
_atom_site_fract_x
_atom_site_fract_y
_atom_site_fract_z
Tc1 Tc 0.5000 0.0000 0.0000
Tc2 Tc 0.0000 0.5000 0.0000
Tc3 Tc 0.0000 0.0000 0.5000
Sn1 Sn 0.5000 0.5000 0.5000
Na1 Na 0.0000 0.0000 0.0000
```

SG = Pm-3m (221)
DOS at the Fermi energy = 1.67 states/eV/cell
distance to the lowest polymorph of the same formula = 0.93 eV per formula unit
E_form = 2.186 eV/atom

A plane-wave DFT calculation with SCAN was carried out for a crystal of MgZrO2 relaxed with PBEsol.

Structure (CIF):
```
data_MgZrO2
_cell_length_a 3.1918
_cell_length_b 3.1918
_cell_length_c 6.3744
_cell_angle_alpha 75.50
_cell_angle_beta 75.50
_cell_angle_gamma 60.00
_symmetry_space_group_name_H-M 'P 1'
_symmetry_Int_Tables_number 1
loop_
_symmetry_equiv_pos_as_xyz
'x,y,z'
loop_
_atom_site_label
_atom_site_type_symbol
_atom_site_fract_x
_atom_site_fract_y
_atom_site_fract_z
O1 O 0.1081 0.1081 0.6758
O2 O 0.8919 0.8919 0.3242
Mg1 Mg 0.5000 0.5000 0.5000
Zr1 Zr 0.0000 0.0000 0.0000
```

ΔE_f (raw) = -2519 meV/atom
SG = R-3m (166)
DOS at the Fermi energy = 0.65 states/eV/cell

A plane-wave DFT calculation with SCAN was carried out for a crystal of Li2AlTc relaxed with PBEsol.

Structure (CIF):
```
data_Li2AlTc
_cell_length_a 2.6378
_cell_length_b 2.6378
_cell_length_c 8.7537
_cell_angle_alpha 90.00
_cell_angle_beta 90.00
_cell_angle_gamma 90.00
_symmetry_space_group_name_H-M 'P 1'
_symmetry_Int_Tables_number 1
loop_
_symmetry_equiv_pos_as_xyz
'x,y,z'
loop_
_atom_site_label
_atom_site_type_symbol
_atom_site_fract_x
_atom_site_fract_y
_atom_site_fract_z
Tc1 Tc 0.0000 0.0000 0.5141
Al1 Al 0.5000 0.5000 0.7357
Li1 Li 0.5000 0.5000 0.2718
Li2 Li 0.0000 0.0000 0.9785
```

SG = P4mm (99)
DOS at the Fermi energy = 1.76 states/eV/cell
E_form = -0.020 eV/atom

A plane-wave DFT calculation with SCAN was carried out for a crystal of InTe2RuF relaxed with PBEsol.

Structure (CIF):
```
data_InTe2RuF
_cell_length_a 4.6046
_cell_length_b 4.7464
_cell_length_c 4.7464
_cell_angle_alpha 90.00
_cell_angle_beta 90.00
_cell_angle_gamma 90.00
_symmetry_space_group_name_H-M 'P 1'
_symmetry_Int_Tables_number 1
loop_
_symmetry_equiv_pos_as_xyz
'x,y,z'
loop_
_atom_site_label
_atom_site_type_symbol
_atom_site_fract_x
_atom_site_fract_y
_atom_site_fract_z
F1 F 0.0000 0.0000 0.0000
Te1 Te 0.0000 0.0000 0.5000
Te2 Te 0.0000 0.5000 0.0000
In1 In 0.5000 0.0000 0.0000
Ru1 Ru 0.5000 0.5000 0.5000
```

ΔE_f (raw) = 530 meV/atom
SG = P4/mmm (123)
DOS at the Fermi energy = 2.57 states/eV/cell

A plane-wave DFT calculation with SCAN was carried out for a crystal of MgSb2TeF relaxed with PBEsol.

Structure (CIF):
```
data_MgSb2TeF
_cell_length_a 4.6945
_cell_length_b 4.6945
_cell_length_c 5.4216
_cell_angle_alpha 90.00
_cell_angle_beta 90.00
_cell_angle_gamma 90.00
_symmetry_space_group_name_H-M 'P 1'
_symmetry_Int_Tables_number 1
loop_
_symmetry_equiv_pos_as_xyz
'x,y,z'
loop_
_atom_site_label
_atom_site_type_symbol
_atom_site_fract_x
_atom_site_fract_y
_atom_site_fract_z
Mg1 Mg 0.5000 0.5000 0.5000
F1 F 0.0000 0.0000 0.0000
Sb1 Sb 0.5000 0.0000 0.0000
Sb2 Sb 0.0000 0.5000 0.0000
Te1 Te 0.0000 0.0000 0.5000
```

ΔE_f (raw) = -146 meV/atom
SG = P4/mmm (123)
DOS at the Fermi energy = 3.04 states/eV/cell

A plane-wave DFT calculation with SCAN was carried out for a crystal of CaY2Mg relaxed with PBEsol.

Structure (CIF):
```
data_CaY2Mg
_cell_length_a 3.7344
_cell_length_b 3.7344
_cell_length_c 8.8664
_cell_angle_alpha 90.00
_cell_angle_beta 90.00
_cell_angle_gamma 90.00
_symmetry_space_group_name_H-M 'P 1'
_symmetry_Int_Tables_number 1
loop_
_symmetry_equiv_pos_as_xyz
'x,y,z'
loop_
_atom_site_label
_atom_site_type_symbol
_atom_site_fract_x
_atom_site_fract_y
_atom_site_fract_z
Ca1 Ca 0.5000 0.5000 0.0000
Y1 Y 0.0000 0.0000 0.2975
Y2 Y 0.0000 0.0000 0.7025
Mg1 Mg 0.5000 0.5000 0.5000
```

SG = P4/mmm (123)
DOS at the Fermi energy = 4.14 states/eV/cell
E_form = 0.011 eV/atom

A plane-wave DFT calculation with SCAN was carried out for a crystal of Li2MgRu relaxed with PBEsol.

Structure (CIF):
```
data_Li2MgRu
_cell_length_a 3.7218
_cell_length_b 3.7218
_cell_length_c 4.1892
_cell_angle_alpha 90.00
_cell_angle_beta 90.00
_cell_angle_gamma 90.00
_symmetry_space_group_name_H-M 'P 1'
_symmetry_Int_Tables_number 1
loop_
_symmetry_equiv_pos_as_xyz
'x,y,z'
loop_
_atom_site_label
_atom_site_type_symbol
_atom_site_fract_x
_atom_site_fract_y
_atom_site_fract_z
Ru1 Ru 0.0000 0.0000 0.5000
Li1 Li 0.5000 0.0000 0.0000
Li2 Li 0.0000 0.5000 0.0000
Mg1 Mg 0.5000 0.5000 0.5000
```

SG = P4/mmm (123)
DOS at the Fermi energy = 1.17 states/eV/cell
E_form = 0.141 eV/atom